Density functional theory data (PBE+U) for crystalline SrLa3Ni2O8 at its relaxed geometry.

abc: 5.434 5.449 6.915
angles: 90.00 66.86 90.00
Element x y z (fractional)
Sr 0.642 0.000 0.716
La 0.138 0.500 0.725
La 0.859 0.500 0.282
La 0.362 0.000 0.276
Ni 0.505 0.500 0.991
Ni 0.003 0.000 0.995
O 0.320 0.500 0.360
O 0.835 0.000 0.329
O 0.175 0.000 0.650
O 0.676 0.500 0.649
O 0.745 0.258 0.007
O 0.249 0.742 0.007
O 0.249 0.258 0.007
O 0.745 0.742 0.007

Properties
Energy ... -6.93 eV/atom
Size of the total moment ... 3.0 μB/f.u.